! PBE AlReHg2, optimized geometry; values from VASP
&SYSTEM
  ibrav = 0, nat = 4, ntyp = 3
/
ATOMIC_SPECIES
Re 186.21 Re.upf
Al 26.98 Al.upf
Hg 200.59 Hg.upf
CELL_PARAMETERS angstrom
2.936 -0.053 0.000
-1.571 2.481 0.000
0.000 0.000 10.778
ATOMIC_POSITIONS crystal
Re 0.500 0.500 0.250
Al 0.500 0.500 0.750
Hg 0.000 0.000 0.009
Hg 0.000 0.000 0.491
! Formation enthalpy at 0 K ... 0.69 eV/atom
! Total DFT energy (no corrections) ... -3.51 eV per atom
! Symmetry ... Cmmm (65)